one) # GGA-PBE BeSi3Te, relaxed
# DOS(E_F) in states/eV/atom: 0.621
# V in Å³/cell: 89.94
data_BeSi3Te
_chemical_formula_sum 'Be1 Si3 Te1'
_symmetry_space_group_name_H-M 'P m -3 m'
_symmetry_Int_Tables_number 221
_symmetry_space_group_name_Hall '-P 4 2 3'
_cell_length_a 4.480
_cell_length_b 4.480
_cell_length_c 4.480
_cell_angle_alpha 90.00
_cell_angle_beta 90.00
_cell_angle_gamma 90.00
loop_
_atom_site_label
_atom_site_fract_x
_atom_site_fract_y
_atom_site_fract_z
Be1 0.000 0.000 0.000
Si1 0.000 0.000 0.500
Te1 0.500 0.500 0.500


two) # GGA-PBE BeSi3Te, relaxed
# DOS(E_F) in states/eV/atom: 0.533
# V in Å³/cell: 137.03
data_BeSi3Te
_chemical_formula_sum 'Be1 Si3 Te1'
_symmetry_space_group_name_H-M 'P m -3 m'
_symmetry_Int_Tables_number 221
_symmetry_space_group_name_Hall '-P 4 2 3'
_cell_length_a 5.155
_cell_length_b 5.155
_cell_length_c 5.155
_cell_angle_alpha 90.00
_cell_angle_beta 90.00
_cell_angle_gamma 90.00
loop_
_atom_site_label
_atom_site_fract_x
_atom_site_fract_y
_atom_site_fract_z
Be1 0.000 0.000 0.000
Si1 0.000 0.500 0.500
Te1 0.500 0.500 0.500


What should be chosen as the least stable of them? Choose two).


one) # GGA-PBE Be3SiTe, relaxed
# DOS(E_F) in states/eV/atom: 0.994
# V in Å³/cell: 99.19
data_Be3SiTe
_chemical_formula_sum 'Be3 Si1 Te1'
_symmetry_space_group_name_H-M 'P m -3 m'
_symmetry_Int_Tables_number 221
_symmetry_space_group_name_Hall '-P 4 2 3'
_cell_length_a 4.629
_cell_length_b 4.629
_cell_length_c 4.629
_cell_angle_alpha 90.00
_cell_angle_beta 90.00
_cell_angle_gamma 90.00
loop_
_atom_site_label
_atom_site_fract_x
_atom_site_fract_y
_atom_site_fract_z
Be1 0.000 0.000 0.500
Si1 0.500 0.500 0.500
Te1 0.000 0.000 0.000


two) # GGA-PBE Be3SiTe, relaxed
# DOS(E_F) in states/eV/atom: 0.134
# V in Å³/cell: 83.91
data_Be3SiTe
_chemical_formula_sum 'Be3 Si1 Te1'
_symmetry_space_group_name_H-M 'P m -3 m'
_symmetry_Int_Tables_number 221
_symmetry_space_group_name_Hall '-P 4 2 3'
_cell_length_a 4.378
_cell_length_b 4.378
_cell_length_c 4.378
_cell_angle_alpha 90.00
_cell_angle_beta 90.00
_cell_angle_gamma 90.00
loop_
_atom_site_label
_atom_site_fract_x
_atom_site_fract_y
_atom_site_fract_z
Be1 0.000 0.000 0.500
Si1 0.000 0.000 0.000
Te1 0.500 0.500 0.500


What should be chosen as the least stable of them? Choose one).


one) # GGA-PBE Th2BeSi3, relaxed
# DOS(E_F) in states/eV/atom: 0.770
# V in Å³/cell: 118.09
data_Th2BeSi3
_chemical_formula_sum 'Th2 Be1 Si3'
_symmetry_space_group_name_H-M 'P m m 2'
_symmetry_Int_Tables_number 25
_symmetry_space_group_name_Hall 'P 2 -2'
_cell_length_a 3.977
_cell_length_b 4.279
_cell_length_c 6.940
_cell_angle_alpha 90.00
_cell_angle_beta 90.00
_cell_angle_gamma 90.00
loop_
_atom_site_label
_atom_site_fract_x
_atom_site_fract_y
_atom_site_fract_z
Th1 0.000 0.000 0.000
Th2 0.500 0.000 0.497
Be1 0.000 0.500 0.670
Si1 0.000 0.500 0.351
Si2 0.500 0.500 0.163
Si3 0.500 0.500 0.817


two) # GGA-PBE Th2BeSi3, relaxed
# DOS(E_F) in states/eV/atom: 0.863
# V in Å³/cell: 942.28
data_Th2BeSi3
_chemical_formula_sum 'Th16 Be8 Si24'
_symmetry_space_group_name_H-M 'F m m m'
_symmetry_Int_Tables_number 69
_symmetry_space_group_name_Hall '-F 2 2'
_cell_length_a 7.982
_cell_length_b 8.540
_cell_length_c 13.824
_cell_angle_alpha 90.00
_cell_angle_beta 90.00
_cell_angle_gamma 90.00
loop_
_atom_site_label
_atom_site_fract_x
_atom_site_fract_y
_atom_site_fract_z
Th1 0.000 0.247 0.000
Th2 0.250 0.250 0.250
Be1 0.000 0.000 0.333
Si1 0.000 0.000 0.174
Si2 0.240 0.000 0.413


What should be chosen as the least stable of them? Choose one).


one) # GGA-PBE TiBe3Si, relaxed
# DOS(E_F) in states/eV/atom: 0.869
# V in Å³/cell: 87.38
data_TiBe3Si
_chemical_formula_sum 'Ti1 Be3 Si1'
_symmetry_space_group_name_H-M 'P m -3 m'
_symmetry_Int_Tables_number 221
_symmetry_space_group_name_Hall '-P 4 2 3'
_cell_length_a 4.437
_cell_length_b 4.437
_cell_length_c 4.437
_cell_angle_alpha 90.00
_cell_angle_beta 90.00
_cell_angle_gamma 90.00
loop_
_atom_site_label
_atom_site_fract_x
_atom_site_fract_y
_atom_site_fract_z
Ti1 0.000 0.000 0.000
Be1 0.000 0.000 0.500
Si1 0.500 0.500 0.500


two) # GGA-PBE TiBe3Si, relaxed
# DOS(E_F) in states/eV/atom: 0.812
# V in Å³/cell: 67.10
data_TiBe3Si
_chemical_formula_sum 'Ti1 Be3 Si1'
_symmetry_space_group_name_H-M 'P m -3 m'
_symmetry_Int_Tables_number 221
_symmetry_space_group_name_Hall '-P 4 2 3'
_cell_length_a 4.064
_cell_length_b 4.064
_cell_length_c 4.064
_cell_angle_alpha 90.00
_cell_angle_beta 90.00
_cell_angle_gamma 90.00
loop_
_atom_site_label
_atom_site_fract_x
_atom_site_fract_y
_atom_site_fract_z
Ti1 0.000 0.000 0.000
Be1 0.000 0.500 0.500
Si1 0.500 0.500 0.500


What should be chosen as the least stable of them? Choose one).


one) # GGA-PBE Ti2BeSi2, relaxed
# DOS(E_F) in states/eV/atom: 0.342
# V in Å³/cell: 268.98
data_Ti2BeSi2
_chemical_formula_sum 'Ti8 Be4 Si8'
_symmetry_space_group_name_H-M 'C 1 2/m 1'
_symmetry_Int_Tables_number 12
_symmetry_space_group_name_Hall '-C 2y'
_cell_length_a 9.233
_cell_length_b 3.600
_cell_length_c 8.987
_cell_angle_alpha 90.00
_cell_angle_beta 115.78
_cell_angle_gamma 90.00
loop_
_atom_site_label
_atom_site_fract_x
_atom_site_fract_y
_atom_site_fract_z
Ti1 0.008 0.000 0.173
Ti2 0.189 0.000 0.612
Be1 0.205 0.500 0.826
Si1 0.034 0.500 0.390
Si2 0.151 0.500 0.063


two) # GGA-PBE Ti2BeSi2, relaxed
# DOS(E_F) in states/eV/atom: 0.675
# V in Å³/cell: 139.44
data_Ti2BeSi2
_chemical_formula_sum 'Ti4 Be2 Si4'
_symmetry_space_group_name_H-M 'P 4/m b m'
_symmetry_Int_Tables_number 127
_symmetry_space_group_name_Hall '-P 4 2ab'
_cell_length_a 6.124
_cell_length_b 6.124
_cell_length_c 3.718
_cell_angle_alpha 90.00
_cell_angle_beta 90.00
_cell_angle_gamma 90.00
loop_
_atom_site_label
_atom_site_fract_x
_atom_site_fract_y
_atom_site_fract_z
Ti1 0.171 0.329 0.000
Be1 0.000 0.000 0.500
Si1 0.135 0.635 0.500


What should be chosen as the least stable of them? Choose two).


one) # GGA-PBE Ti3BeSi, relaxed
# DOS(E_F) in states/eV/atom: 0.767
# V in Å³/cell: 79.00
data_Ti3BeSi
_chemical_formula_sum 'Ti3 Be1 Si1'
_symmetry_space_group_name_H-M 'P m -3 m'
_symmetry_Int_Tables_number 221
_symmetry_space_group_name_Hall '-P 4 2 3'
_cell_length_a 4.291
_cell_length_b 4.291
_cell_length_c 4.291
_cell_angle_alpha 90.00
_cell_angle_beta 90.00
_cell_angle_gamma 90.00
loop_
_atom_site_label
_atom_site_fract_x
_atom_site_fract_y
_atom_site_fract_z
Ti1 0.000 0.000 0.500
Be1 0.000 0.000 0.000
Si1 0.500 0.500 0.500


two) # GGA-PBE Ti3BeSi, relaxed
# DOS(E_F) in states/eV/atom: 0.576
# V in Å³/cell: 147.95
data_Ti3BeSi
_chemical_formula_sum 'Ti6 Be2 Si2'
_symmetry_space_group_name_H-M 'P 63/m m c'
_symmetry_Int_Tables_number 194
_symmetry_space_group_name_Hall '-P 6c 2c'
_cell_length_a 6.0397
_cell_length_b 6.0397
_cell_length_c 4.6833
_cell_angle_alpha 90.00
_cell_angle_beta 90.00
_cell_angle_gamma 120.00
loop_
_atom_site_label
_atom_site_fract_x
_atom_site_fract_y
_atom_site_fract_z
Ti1 0.1853 0.3706 0.2500
Be1 0.0000 0.0000 0.0000
Si1 0.3333 0.6667 0.7500


What should be chosen as the least stable of them? Choose one).